Density functional theory data (GGA-PBE) for a geometry-optimized Ba2ZnB6O12 structure.

Uncorrected formation energy   -2.524 eV/atom

abc: 7.219 7.270 12.375
angles: 80.35 86.38 60.25
Fractional coordinates of all 42 atoms:
Ba 0.164 0.181 0.450
Ba 0.180 0.088 0.783
Ba 0.820 0.912 0.217
Ba 0.836 0.819 0.550
Zn 0.471 0.635 0.086
Zn 0.529 0.365 0.914
B 0.071 0.554 0.867
B 0.181 0.066 0.126
B 0.280 0.713 0.373
B 0.312 0.321 0.113
B 0.330 0.423 0.623
B 0.467 0.675 0.628
B 0.533 0.325 0.372
B 0.670 0.577 0.377
B 0.688 0.679 0.887
B 0.720 0.287 0.627
B 0.819 0.934 0.874
B 0.929 0.446 0.133
O 0.027 0.765 0.862
O 0.082 0.876 0.378
O 0.105 0.483 0.129
O 0.163 0.394 0.617
O 0.206 0.874 0.118
O 0.266 0.384 0.870
O 0.298 0.632 0.623
O 0.324 0.503 0.368
O 0.351 0.110 0.122
O 0.436 0.872 0.626
O 0.457 0.745 0.375
O 0.478 0.357 0.089
O 0.522 0.643 0.911
O 0.543 0.255 0.625
O 0.564 0.128 0.374
O 0.649 0.890 0.878
O 0.676 0.497 0.632
O 0.702 0.368 0.377
O 0.734 0.616 0.130
O 0.794 0.126 0.882
O 0.837 0.606 0.383
O 0.895 0.517 0.871
O 0.918 0.124 0.622
O 0.973 0.235 0.138

Density functional theory data (GGA-PBE) for a geometry-optimized Pm2Ni3P4Pd structure.

Energy relative to the elements   -0.985 eV/atom

abc: 4.101 4.101 9.253
angles: 90.00 90.00 90.00
Fractional coordinates of all 10 atoms:
Pm 0.000 0.500 0.241
Pm 0.500 0.000 0.759
Ni 0.000 0.500 0.889
Ni 0.500 0.000 0.111
Ni 0.500 0.500 0.500
P 0.000 0.000 0.000
P 0.000 0.500 0.640
P 0.500 0.000 0.360
P 0.500 0.500 0.000
Pd 0.000 0.000 0.500

Density functional theory data (GGA-PBE) for a geometry-optimized KMn structure.

Energy relative to the elements   0.793 eV/atom
ΔE to the lowest computed polymorph   0.048 eV per atom

abc: 4.311 11.020 12.433
angles: 90.00 90.00 90.00
Fractional coordinates of all 16 atoms:
K 0.001 0.144 0.255
K 0.005 0.581 0.569
K 0.495 0.419 0.069
K 0.499 0.856 0.755
K 0.501 0.356 0.745
K 0.505 0.919 0.431
K 0.995 0.081 0.931
K 0.999 0.644 0.245
Mn 0.008 0.110 0.607
Mn 0.008 0.290 0.481
Mn 0.492 0.710 0.981
Mn 0.492 0.890 0.107
Mn 0.508 0.210 0.519
Mn 0.508 0.390 0.393
Mn 0.992 0.610 0.893
Mn 0.992 0.790 0.019

Density functional theory data (GGA-PBE) for a geometry-optimized Ce6TcRh2 structure.

Energy relative to the elements   -0.350 eV/atom

abc: 5.695 5.695 9.062
angles: 120.08 120.08 52.33
Fractional coordinates of all 9 atoms:
Ce 0.007 0.007 0.331
Ce 0.324 0.324 0.333
Ce 0.335 0.335 0.000
Ce 0.665 0.665 0.000
Ce 0.676 0.676 0.667
Ce 0.993 0.993 0.669
Tc 0.000 0.000 0.000
Rh 0.344 0.344 0.687
Rh 0.656 0.656 0.313

Density functional theory data (GGA-PBE) for a geometry-optimized Pm2Ga4RuRh3 structure.

Energy relative to the elements   -0.715 eV/atom

abc: 4.401 4.401 9.671
angles: 90.00 90.00 90.00
Fractional coordinates of all 10 atoms:
Pm 0.000 0.500 0.230
Pm 0.500 0.000 0.770
Ga 0.000 0.000 0.500
Ga 0.000 0.500 0.876
Ga 0.500 0.000 0.124
Ga 0.500 0.500 0.500
Ru 0.500 0.500 0.000
Rh 0.000 0.000 0.000
Rh 0.000 0.500 0.622
Rh 0.500 0.000 0.378

Density functional theory data (GGA-PBE) for a geometry-optimized Li3PuPt2 structure.

Energy relative to the elements   -0.534 eV/atom

abc: 7.057 7.057 8.877
angles: 121.98 121.98 33.67
Fractional coordinates of all 12 atoms:
Li 0.062 0.062 0.407
Li 0.268 0.268 0.424
Li 0.422 0.422 0.310
Li 0.578 0.578 0.690
Li 0.732 0.732 0.576
Li 0.938 0.938 0.593
Pu 0.125 0.125 0.001
Pu 0.875 0.875 0.999
Pt 0.208 0.208 0.758
Pt 0.431 0.431 0.797
Pt 0.569 0.569 0.203
Pt 0.792 0.792 0.242

Density functional theory data (GGA-PBE) for a geometry-optimized UGeTe2Se structure.

Uncorrected formation energy   -0.499 eV/atom

abc: 4.292 4.292 14.688
angles: 90.00 90.00 90.00
Fractional coordinates of all 10 atoms:
U 0.250 0.250 0.134
U 0.750 0.750 0.866
Ge 0.250 0.250 0.591
Ge 0.750 0.750 0.409
Te 0.250 0.250 0.390
Te 0.250 0.250 0.792
Te 0.750 0.750 0.208
Te 0.750 0.750 0.610
Se 0.250 0.750 0.000
Se 0.750 0.250 0.000

Density functional theory data (GGA-PBE) for a geometry-optimized DySn2Os structure.

Energy relative to the elements   -0.180 eV/atom

abc: 5.681 5.681 5.681
angles: 46.76 46.76 46.76
Fractional coordinates of all 4 atoms:
Dy 0.000 0.000 0.000
Sn 0.226 0.226 0.226
Sn 0.774 0.774 0.774
Os 0.500 0.500 0.500

Density functional theory data (GGA-PBE) for a geometry-optimized CeZrTe2N structure.

Uncorrected formation energy   -1.162 eV/atom

abc: 4.041 4.041 14.450
angles: 90.00 90.00 90.00
Fractional coordinates of all 10 atoms:
Ce 0.250 0.250 0.076
Ce 0.750 0.750 0.924
Zr 0.250 0.250 0.582
Zr 0.750 0.750 0.418
Te 0.250 0.250 0.376
Te 0.250 0.250 0.788
Te 0.750 0.750 0.212
Te 0.750 0.750 0.624
N 0.250 0.750 0.000
N 0.750 0.250 0.000

Density functional theory data (GGA-PBE) for a geometry-optimized Mn2NbZnIn structure.

Energy relative to the elements   2.115 eV/atom

abc: 4.668 4.668 5.088
angles: 90.00 90.00 90.00
Fractional coordinates of all 5 atoms:
Mn 0.000 0.500 0.000
Mn 0.500 0.000 0.000
Nb 0.000 0.000 0.500
Zn 0.500 0.500 0.500
In 0.000 0.000 0.000

Density functional theory data (GGA-PBE) for a geometry-optimized ThTi2Pb structure.

Energy relative to the elements   0.043 eV/atom
ΔE to the lowest computed polymorph   0.057 eV per atom

abc: 4.973 4.973 4.973
angles: 60.00 60.00 60.00
Fractional coordinates of all 4 atoms:
Th 0.000 0.000 0.000
Ti 0.250 0.250 0.250
Ti 0.750 0.750 0.750
Pb 0.500 0.500 0.500

Density functional theory data (GGA-PBE) for a geometry-optimized SrLiZnCu2 structure.

Energy relative to the elements   -0.094 eV/atom

abc: 6.204 6.204 6.204
angles: 139.88 139.88 58.04
Fractional coordinates of all 5 atoms:
Sr 0.000 0.000 0.000
Li 0.750 0.250 0.500
Zn 0.250 0.750 0.500
Cu 0.386 0.386 0.000
Cu 0.614 0.614 0.000

no.,energy (eV/atom)
1,-7.509
2,-6.353
3,-4.341
4,-7.092
5,-6.009
6,-5.893
7,-5.634
8,-6.139
9,-6.980
10,-4.369
11,-6.686
12,-2.706